EuPdAu: optimized geometry, PBE.

It has space group I4mm (No. 107), with a = 3.7269 Å, b = 3.7269 Å, c = 9.5197 Å, α = 90.00°, β = 90.00° and γ = 90.00°. Symmetry generates all atoms from Eu at (0.0000, 0.0000, 0.0000), Pd at (0.0000, 0.0000, 0.3238) and Au at (0.0000, 0.0000, 0.6788).

For the final energy, the calculation gives -6.787 eV per atom. Its calculated density is 11437 kg/m³. The volume comes out at 132 Å³/cell. The calculated formation energy is -0.54 eV/atom.

---

PmEuPdAu: optimized geometry, PBE.

It has space group F-43m (No. 216), with a = 7.3176 Å, b = 7.3176 Å, c = 7.3176 Å, α = 90.00°, β = 90.00° and γ = 90.00°. Symmetry generates all atoms from Pm at (0.0000, 0.0000, 0.0000), Eu at (0.0000, 0.0000, 0.5000), Pd at (0.2500, 0.2500, 0.2500) and Au at (0.2500, 0.2500, 0.7500).

For the final energy, the calculation gives -6.607 eV per atom. Its calculated density is 10177 kg/m³. The volume comes out at 392 Å³/cell. The calculated formation energy is -0.73 eV/atom.

---

PrEuPdAu: optimized geometry, PBE.

It has space group F-43m (No. 216), with a = 7.3722 Å, b = 7.3722 Å, c = 7.3722 Å, α = 90.00°, β = 90.00° and γ = 90.00°. Symmetry generates all atoms from Pr at (0.0000, 0.0000, 0.0000), Eu at (0.0000, 0.0000, 0.5000), Pd at (0.2500, 0.2500, 0.2500) and Au at (0.2500, 0.2500, 0.7500).

For the final energy, the calculation gives -6.603 eV per atom. Its calculated density is 9884 kg/m³. The volume comes out at 401 Å³/cell. The calculated formation energy is -0.72 eV/atom.

---

EuScPdAu: optimized geometry, PBE.

It has space group F-43m (No. 216), with a = 7.0426 Å, b = 7.0426 Å, c = 7.0426 Å, α = 90.00°, β = 90.00° and γ = 90.00°. Symmetry generates all atoms from Eu at (0.0000, 0.0000, 0.0000), Sc at (0.0000, 0.0000, 0.5000), Pd at (0.2500, 0.2500, 0.2500) and Au at (0.2500, 0.2500, 0.7500).

For the final energy, the calculation gives -6.929 eV per atom. Its calculated density is 9514 kg/m³. The volume comes out at 349 Å³/cell. The calculated formation energy is -0.66 eV/atom.

---

Eu2Si4Pd3Au: optimized geometry, PBE.

It has space group P-4m2 (No. 115), with a = 4.2876 Å, b = 4.2876 Å, c = 10.0242 Å, α = 90.00°, β = 90.00° and γ = 90.00°. Symmetry generates all atoms from Eu at (0.0000, 0.5000, 0.2486), Si at (0.0000, 0.5000, 0.6362), Si at (0.0000, 0.5000, 0.8748), Pd at (0.0000, 0.0000, 0.0000), Pd at (0.5000, 0.5000, 0.0000), Pd at (0.5000, 0.5000, 0.5000) and Au at (0.0000, 0.0000, 0.5000).

For the final energy, the calculation gives -6.856 eV per atom. For the formation energy without anion corrections, the calculation gives -746 meV/atom. Its calculated density is 8403 kg/m³. The volume comes out at 184 Å³/cell.

---

EuSnPdAu: optimized geometry, PBE.

It has space group F-43m (No. 216), with a = 7.0456 Å, b = 7.0456 Å, c = 7.0456 Å, α = 90.00°, β = 90.00° and γ = 90.00°. Symmetry generates all atoms from Eu at (0.0000, 0.0000, 0.0000), Sn at (0.0000, 0.0000, 0.5000), Pd at (0.2500, 0.2500, 0.2500) and Au at (0.2500, 0.2500, 0.7500).

For the final energy, the calculation gives -6.279 eV per atom. Its calculated density is 10902 kg/m³. The volume comes out at 350 Å³/cell. The calculated formation energy is -0.59 eV/atom.

---

SrEuPdAu: optimized geometry, PBE.

It has space group F-43m (No. 216), with a = 7.4747 Å, b = 7.4747 Å, c = 7.4747 Å, α = 90.00°, β = 90.00° and γ = 90.00°. Symmetry generates all atoms from Sr at (0.0000, 0.0000, 0.0000), Eu at (0.0000, 0.0000, 0.5000), Pd at (0.2500, 0.2500, 0.2500) and Au at (0.2500, 0.2500, 0.7500).

For the final energy, the calculation gives -5.782 eV per atom. Its calculated density is 8636 kg/m³. The volume comes out at 418 Å³/cell. The calculated formation energy is -0.68 eV/atom.

---

EuThPdAu: optimized geometry, PBE.

It has space group F-43m (No. 216), with a = 7.3450 Å, b = 7.3450 Å, c = 7.3450 Å, α = 90.00°, β = 90.00° and γ = 90.00°. Symmetry generates all atoms from Eu at (0.0000, 0.0000, 0.0000), Th at (0.0000, 0.0000, 0.5000), Pd at (0.2500, 0.2500, 0.2500) and Au at (0.2500, 0.2500, 0.7500).

For the final energy, the calculation gives -7.181 eV per atom. Its calculated density is 11522 kg/m³. The volume comes out at 396 Å³/cell. The calculated formation energy is -0.64 eV/atom.

---

EuTlPdAu: optimized geometry, PBE.

It has space group F-43m (No. 216), with a = 7.1443 Å, b = 7.1443 Å, c = 7.1443 Å, α = 90.00°, β = 90.00° and γ = 90.00°. Symmetry generates all atoms from Eu at (0.0000, 0.0000, 0.0000), Tl at (0.0000, 0.0000, 0.5000), Pd at (0.2500, 0.2500, 0.2500) and Au at (0.2500, 0.2500, 0.7500).

For the final energy, the calculation gives -5.737 eV per atom. Its calculated density is 12017 kg/m³. The volume comes out at 365 Å³/cell. The calculated formation energy is -0.46 eV/atom.

---

EuYPdAu: optimized geometry, PBE.

It has space group F-43m (No. 216), with a = 7.2356 Å, b = 7.2356 Å, c = 7.2356 Å, α = 90.00°, β = 90.00° and γ = 90.00°. Symmetry generates all atoms from Eu at (0.0000, 0.0000, 0.0000), Y at (0.0000, 0.0000, 0.5000), Pd at (0.2500, 0.2500, 0.2500) and Au at (0.2500, 0.2500, 0.7500).

For the final energy, the calculation gives -7.051 eV per atom. Its calculated density is 9543 kg/m³. The volume comes out at 379 Å³/cell. The calculated formation energy is -0.75 eV/atom.

---

PmEuAu4: optimized geometry, PBE.

It has space group F-43m (No. 216), with a = 8.1322 Å, b = 8.1322 Å, c = 8.1322 Å, α = 90.00°, β = 90.00° and γ = 90.00°. Symmetry generates all atoms from Pm at (0.0000, 0.0000, 0.0000), Eu at (0.2500, 0.2500, 0.2500) and Au at (0.1249, 0.1249, 0.6249).

For the final energy, the calculation gives -5.232 eV per atom. Its calculated density is 13398 kg/m³. The volume comes out at 538 Å³/cell. The calculated formation energy is -0.54 eV/atom.

---

PmEu2Au: optimized geometry, PBE.

It has space group P4/mmm (No. 123), with a = 3.7495 Å, b = 3.7495 Å, c = 9.1416 Å, α = 90.00°, β = 90.00° and γ = 90.00°. Symmetry generates all atoms from Pm at (0.0000, 0.0000, 0.0000), Eu at (0.5000, 0.5000, 0.3026) and Au at (0.0000, 0.0000, 0.5000).

For the final energy, the calculation gives -7.483 eV per atom. Its calculated density is 8345 kg/m³. The volume comes out at 129 Å³/cell. The calculated formation energy is -0.34 eV/atom.